(1)
Here is RbCrP2O7 after structural relaxation from Alexandria via LeMat-Bulk. Energies are from GGA-PBEsol.

a b c (Å): 7.470 9.881 8.240
angles (deg): 90.00 106.19 90.00
Sites, in units of the cell vectors:
Rb: 0.184 0.185 0.052
Rb: 0.184 0.315 0.552
Rb: 0.816 0.685 0.448
Rb: 0.816 0.815 0.948
Cr: 0.237 0.600 0.261
Cr: 0.237 0.900 0.761
Cr: 0.763 0.100 0.239
Cr: 0.763 0.400 0.739
P: 0.131 0.596 0.833
P: 0.131 0.904 0.333
P: 0.434 0.633 0.689
P: 0.434 0.867 0.189
P: 0.566 0.133 0.811
P: 0.566 0.367 0.311
P: 0.869 0.096 0.667
P: 0.869 0.404 0.167
O: 0.011 0.502 0.276
O: 0.011 0.998 0.776
O: 0.087 0.738 0.757
O: 0.087 0.762 0.257
O: 0.146 0.590 0.019
O: 0.146 0.910 0.519
O: 0.317 0.604 0.510
O: 0.317 0.896 0.010
O: 0.331 0.552 0.810
O: 0.331 0.948 0.310
O: 0.368 0.076 0.766
O: 0.368 0.424 0.266
O: 0.444 0.717 0.242
O: 0.444 0.783 0.742
O: 0.556 0.217 0.258
O: 0.556 0.283 0.758
O: 0.632 0.576 0.734
O: 0.632 0.924 0.234
O: 0.669 0.052 0.690
O: 0.669 0.448 0.190
O: 0.683 0.104 0.990
O: 0.683 0.396 0.490
O: 0.854 0.090 0.481
O: 0.854 0.410 0.981
O: 0.913 0.238 0.743
O: 0.913 0.262 0.243
O: 0.989 0.002 0.224
O: 0.989 0.498 0.724

Symmetry ... No. 14
Uncorrected energy ... -7.6440 eV per atom
Formation energy from raw total energies ... -2.23 eV/atom

(2)
Here is SnH16C4N2Cl6 after structural relaxation from Alexandria via LeMat-Bulk. Energies are from GGA-PBEsol.

a b c (Å): 8.038 13.500 7.115
angles (deg): 90.00 90.00 90.00
Sites, in units of the cell vectors:
Sn: 0.000 0.000 0.000
Sn: 0.500 0.500 0.500
H: 0.051 0.224 0.500
H: 0.098 0.431 0.000
H: 0.110 0.315 0.126
H: 0.110 0.315 0.874
H: 0.124 0.724 0.374
H: 0.124 0.724 0.626
H: 0.129 0.903 0.384
H: 0.129 0.903 0.616
H: 0.371 0.403 0.116
H: 0.371 0.403 0.884
H: 0.376 0.224 0.126
H: 0.376 0.224 0.874
H: 0.390 0.815 0.374
H: 0.390 0.815 0.626
H: 0.402 0.931 0.500
H: 0.449 0.724 0.000
H: 0.551 0.276 0.000
H: 0.598 0.069 0.500
H: 0.610 0.185 0.374
H: 0.610 0.185 0.626
H: 0.624 0.776 0.126
H: 0.624 0.776 0.874
H: 0.629 0.597 0.116
H: 0.629 0.597 0.884
H: 0.871 0.097 0.384
H: 0.871 0.097 0.616
H: 0.876 0.276 0.374
H: 0.876 0.276 0.626
H: 0.890 0.685 0.126
H: 0.890 0.685 0.874
H: 0.902 0.569 0.000
H: 0.949 0.776 0.500
C: 0.084 0.764 0.500
C: 0.149 0.355 0.000
C: 0.351 0.855 0.500
C: 0.416 0.264 0.000
C: 0.584 0.736 0.000
C: 0.649 0.145 0.500
C: 0.851 0.645 0.000
C: 0.916 0.236 0.500
N: 0.167 0.862 0.500
N: 0.333 0.362 0.000
N: 0.667 0.638 0.000
N: 0.833 0.138 0.500
Cl: 0.160 0.846 0.000
Cl: 0.180 0.066 0.248
Cl: 0.180 0.066 0.752
Cl: 0.320 0.566 0.252
Cl: 0.320 0.566 0.748
Cl: 0.340 0.346 0.500
Cl: 0.660 0.654 0.500
Cl: 0.680 0.434 0.252
Cl: 0.680 0.434 0.748
Cl: 0.820 0.934 0.248
Cl: 0.820 0.934 0.752
Cl: 0.840 0.154 0.000

Symmetry ... No. 58
Uncorrected energy ... -4.7731 eV per atom